The following is a DFT calculation (GGA-PBE) of a geometry-optimized Zr4C3N structure.

a b c (Å): 11.017 11.017 11.017
angles (deg): 17.36 17.36 17.36
Atoms (fractional coordinates):
1 Zr 0.124 0.124 0.124
2 Zr 0.375 0.375 0.375
3 Zr 0.625 0.625 0.625
4 Zr 0.876 0.876 0.876
5 C 0.000 0.000 0.000
6 C 0.248 0.248 0.248
7 C 0.752 0.752 0.752
8 N 0.500 0.500 0.500

Output
calculated volume	12.99	Å³/atom
energy relative to the elements, uncorrected	-820	kJ/mol of formula units
symmetry	No. 166

The following is a DFT calculation (GGA-PBE) of a geometry-optimized AsPRh2 structure.

a b c (Å): 3.052 3.243 12.720
angles (deg): 90.00 90.00 90.00
Atoms (fractional coordinates):
1 As 0.000 0.000 0.000
2 As 0.500 0.500 0.500
3 P 0.000 0.500 0.747
4 P 0.500 0.000 0.247
5 Rh 0.000 0.000 0.615
6 Rh 0.000 0.500 0.314
7 Rh 0.500 0.000 0.814
8 Rh 0.500 0.500 0.115

Output
formation energy	-1.4	eV/f.u.
calculated volume	15.74	Å³/atom
symmetry	No. 44

The following is a DFT calculation (GGA-PBE) of a geometry-optimized Li2PuSn2 structure.

a b c (Å): 4.060 4.578 12.242
angles (deg): 90.00 90.00 90.00
Atoms (fractional coordinates):
1 Li 0.250 0.250 0.012
2 Li 0.250 0.750 0.364
3 Li 0.750 0.250 0.636
4 Li 0.750 0.750 0.988
5 Pu 0.250 0.750 0.737
6 Pu 0.750 0.250 0.263
7 Sn 0.250 0.250 0.488
8 Sn 0.250 0.750 0.152
9 Sn 0.750 0.250 0.848
10 Sn 0.750 0.750 0.512

Output
formation energy	-1.3	eV/f.u.
calculated volume	22.75	Å³/atom
symmetry	No. 59

The following is a DFT calculation (GGA-PBE) of a geometry-optimized Be3Nb structure.

a b c (Å): 3.550 3.550 3.550
angles (deg): 90.00 90.00 90.00
Atoms (fractional coordinates):
1 Be 0.000 0.000 0.500
2 Be 0.000 0.500 0.000
3 Be 0.500 0.000 0.000
4 Nb 0.500 0.500 0.500

Output
formation energy	-0.4	eV/f.u.
calculated volume	11.19	Å³/atom
symmetry	No. 221

The following is a DFT calculation (GGA-PBE) of a geometry-optimized KSrAl2 structure.

a b c (Å): 4.147 4.147 8.020
angles (deg): 90.00 90.00 90.00
Atoms (fractional coordinates):
1 K 0.000 0.000 0.000
2 Sr 0.000 0.000 0.500
3 Al 0.500 0.500 0.311
4 Al 0.500 0.500 0.689

Output
formation energy	0.8	eV/f.u.
calculated volume	34.49	Å³/atom
symmetry	No. 123

The following is a DFT calculation (GGA-PBE) of a geometry-optimized CaAgPbI5 structure.

a b c (Å): 8.380 8.380 11.423
angles (deg): 105.25 105.25 105.84
Atoms (fractional coordinates):
1 Ca 0.000 0.500 0.000
2 Ca 0.500 0.000 0.500
3 Ag 0.070 0.930 0.750
4 Ag 0.930 0.070 0.250
5 Pb 0.385 0.615 0.750
6 Pb 0.615 0.385 0.250
7 I 0.172 0.758 0.548
8 I 0.189 0.306 0.844
9 I 0.242 0.828 0.952
10 I 0.306 0.189 0.344
11 I 0.359 0.641 0.250
12 I 0.641 0.359 0.750
13 I 0.694 0.811 0.656
14 I 0.758 0.172 0.048
15 I 0.811 0.694 0.156
16 I 0.828 0.242 0.452

Output
calculated volume	43.39	Å³/atom
energy relative to the elements, uncorrected	-633	kJ/mol of formula units
symmetry	No. 15

The following is a DFT calculation (GGA-PBE) of a geometry-optimized Rb3Sm3BiO8 structure.

a b c (Å): 7.851 7.851 7.851
angles (deg): 54.19 54.19 54.19
Atoms (fractional coordinates):
1 Rb 0.000 0.500 0.500
2 Rb 0.500 0.000 0.500
3 Rb 0.500 0.500 0.000
4 Sm 0.000 0.000 0.500
5 Sm 0.000 0.500 0.000
6 Sm 0.500 0.000 0.000
7 Bi 0.500 0.500 0.500
8 O 0.224 0.224 0.224
9 O 0.236 0.719 0.719
10 O 0.281 0.281 0.764
11 O 0.281 0.764 0.281
12 O 0.719 0.236 0.719
13 O 0.719 0.719 0.236
14 O 0.764 0.281 0.281
15 O 0.776 0.776 0.776

Output
calculated volume	19.72	Å³/atom
energy relative to the elements, uncorrected	-3347	kJ/mol of formula units
symmetry	No. 166

The following is a DFT calculation (GGA-PBE) of a geometry-optimized ZrAg2Pb2 structure.

a b c (Å): 8.154 8.154 3.499
angles (deg): 90.00 90.00 90.00
Atoms (fractional coordinates):
1 Zr 0.000 0.000 0.000
2 Zr 0.500 0.500 0.000
3 Ag 0.120 0.380 0.000
4 Ag 0.380 0.880 0.000
5 Ag 0.620 0.120 0.000
6 Ag 0.880 0.620 0.000
7 Pb 0.182 0.682 0.500
8 Pb 0.318 0.182 0.500
9 Pb 0.682 0.818 0.500
10 Pb 0.818 0.318 0.500

Output
formation energy	0.7	eV/f.u.
calculated volume	23.26	Å³/atom
symmetry	No. 127

The following is a DFT calculation (GGA-PBE) of a geometry-optimized Mn2AlVH structure.

a b c (Å): 3.817 3.817 3.654
angles (deg): 90.00 90.00 90.00
Atoms (fractional coordinates):
1 Mn 0.000 0.500 0.000
2 Mn 0.500 0.000 0.000
3 Al 0.000 0.000 0.500
4 V 0.500 0.500 0.500
5 H 0.500 0.500 0.000

Output
calculated total energy	-35.40	eV for the cell shown
calculated volume	10.65	Å³/atom
symmetry	No. 123

The following is a DFT calculation (GGA-PBE) of a geometry-optimized Pr3Y2Tl3 structure.

a b c (Å): 9.267 9.267 6.794
angles (deg): 90.00 90.00 120.00
Atoms (fractional coordinates):
1 Pr 0.000 0.239 0.250
2 Pr 0.000 0.761 0.750
3 Pr 0.239 0.000 0.250
4 Pr 0.239 0.239 0.750
5 Pr 0.761 0.000 0.750
6 Pr 0.761 0.761 0.250
7 Y 0.333 0.667 0.000
8 Y 0.333 0.667 0.500
9 Y 0.667 0.333 0.000
10 Y 0.667 0.333 0.500
11 Tl 0.000 0.407 0.750
12 Tl 0.000 0.593 0.250
13 Tl 0.407 0.000 0.750
14 Tl 0.407 0.407 0.250
15 Tl 0.593 0.000 0.250
16 Tl 0.593 0.593 0.750

Output
formation energy	-2.6	eV/f.u.
calculated volume	31.58	Å³/atom
symmetry	No. 193

The following is a DFT calculation (GGA-PBE) of a geometry-optimized Sm5ZnRh2 structure.

a b c (Å): 8.684 8.684 8.684
angles (deg): 125.82 125.82 80.18
Atoms (fractional coordinates):
1 Sm 0.000 0.000 0.000
2 Sm 0.024 0.524 0.825
3 Sm 0.199 0.024 0.500
4 Sm 0.301 0.801 0.825
5 Sm 0.476 0.301 0.500
6 Sm 0.500 0.500 0.000
7 Sm 0.524 0.699 0.500
8 Sm 0.699 0.199 0.175
9 Sm 0.801 0.976 0.500
10 Sm 0.976 0.476 0.175
11 Zn 0.250 0.250 0.000
12 Zn 0.750 0.750 0.000
13 Rh 0.135 0.365 0.500
14 Rh 0.365 0.865 0.229
15 Rh 0.635 0.135 0.771
16 Rh 0.865 0.635 0.500

Output
formation energy	-3.9	eV/f.u.
calculated volume	25.97	Å³/atom
symmetry	No. 140

The following is a DFT calculation (GGA-PBE) of a geometry-optimized Pm12MgCd6 structure.

a b c (Å): 9.172 9.172 9.172
angles (deg): 111.02 111.02 111.02
Atoms (fractional coordinates):
1 Pm 0.031 0.297 0.186
2 Pm 0.186 0.031 0.297
3 Pm 0.236 0.607 0.677
4 Pm 0.297 0.186 0.031
5 Pm 0.323 0.764 0.393
6 Pm 0.393 0.323 0.764
7 Pm 0.607 0.677 0.236
8 Pm 0.677 0.236 0.607
9 Pm 0.703 0.814 0.969
10 Pm 0.764 0.393 0.323
11 Pm 0.814 0.969 0.703
12 Pm 0.969 0.703 0.814
13 Mg 0.500 0.500 0.500
14 Cd 0.071 0.859 0.551
15 Cd 0.141 0.449 0.929
16 Cd 0.449 0.929 0.141
17 Cd 0.551 0.071 0.859
18 Cd 0.859 0.551 0.071
19 Cd 0.929 0.141 0.449

Output
formation energy	-2.0	eV/f.u.
calculated volume	29.34	Å³/atom
symmetry	No. 148

The following is a DFT calculation (GGA-PBE) of a geometry-optimized La2AgRuO8 structure.

a b c (Å): 4.280 5.422 7.129
angles (deg): 84.03 87.57 83.65
Atoms (fractional coordinates):
1 La 0.193 0.012 0.242
2 La 0.807 0.988 0.758
3 Ag 0.500 0.500 0.000
4 Ru 0.500 0.500 0.500
5 O 0.197 0.765 0.551
6 O 0.275 0.848 0.940
7 O 0.278 0.264 0.640
8 O 0.279 0.466 0.263
9 O 0.721 0.534 0.737
10 O 0.722 0.736 0.360
11 O 0.725 0.152 0.060
12 O 0.803 0.235 0.449

Output
calculated volume	13.62	Å³/atom
energy relative to the elements, uncorrected	-1945	kJ/mol of formula units
symmetry	No. 2

The following is a DFT calculation (GGA-PBE) of a geometry-optimized Pa4C structure.

a b c (Å): 4.825 4.825 4.825
angles (deg): 90.00 90.00 90.00
Atoms (fractional coordinates):
1 Pa 0.000 0.000 0.000
2 Pa 0.000 0.500 0.500
3 Pa 0.500 0.000 0.500
4 Pa 0.500 0.500 0.000
5 C 0.500 0.500 0.500

Output
formation energy	-0.4	eV/f.u.
calculated volume	22.47	Å³/atom
symmetry	No. 221

The following is a DFT calculation (GGA-PBE) of a geometry-optimized Nd2Tc12P7 structure.

a b c (Å): 9.624 9.624 3.965
angles (deg): 90.00 90.00 120.00
Atoms (fractional coordinates):
1 Nd 0.000 0.000 0.000
2 Nd 0.333 0.667 0.500
3 Tc 0.064 0.765 0.500
4 Tc 0.099 0.376 0.000
5 Tc 0.235 0.299 0.500
6 Tc 0.277 0.901 0.000
7 Tc 0.395 0.216 0.000
8 Tc 0.546 0.118 0.500
9 Tc 0.572 0.454 0.500
10 Tc 0.624 0.723 0.000
11 Tc 0.701 0.936 0.500
12 Tc 0.784 0.180 0.000
13 Tc 0.820 0.605 0.000
14 Tc 0.882 0.428 0.500
15 P 0.069 0.609 0.000
16 P 0.269 0.057 0.500
17 P 0.391 0.459 0.000
18 P 0.541 0.931 0.000
19 P 0.667 0.333 0.000
20 P 0.788 0.731 0.500
21 P 0.943 0.212 0.500

Output
formation energy	-12.2	eV/f.u.
calculated volume	15.14	Å³/atom
symmetry	No. 174

The following is a DFT calculation (GGA-PBE) of a geometry-optimized LaGa4NiPt2 structure.

a b c (Å): 9.256 9.256 9.256
angles (deg): 26.79 26.79 26.79
Atoms (fractional coordinates):
1 La 0.000 0.000 0.000
2 Ga 0.135 0.135 0.135
3 Ga 0.404 0.404 0.404
4 Ga 0.596 0.596 0.596
5 Ga 0.865 0.865 0.865
6 Ni 0.500 0.500 0.500
7 Pt 0.234 0.234 0.234
8 Pt 0.766 0.766 0.766

Output
formation energy	-5.4	eV/f.u.
calculated volume	17.75	Å³/atom
symmetry	No. 166

The following is a DFT calculation (GGA-PBE) of a geometry-optimized Mg6Hg5Au structure.

a b c (Å): 4.882 7.017 7.648
angles (deg): 90.00 108.19 90.00
Atoms (fractional coordinates):
1 Mg 0.000 0.237 0.000
2 Mg 0.000 0.763 0.000
3 Mg 0.340 0.244 0.678
4 Mg 0.340 0.756 0.678
5 Mg 0.660 0.244 0.322
6 Mg 0.660 0.756 0.322
7 Hg 0.169 0.000 0.338
8 Hg 0.169 0.500 0.337
9 Hg 0.500 0.500 0.000
10 Hg 0.831 0.000 0.662
11 Hg 0.831 0.500 0.663
12 Au 0.500 0.000 0.000

Output
formation energy	-3.4	eV/f.u.
calculated volume	20.74	Å³/atom
symmetry	No. 10

The following is a DFT calculation (GGA-PBE) of a geometry-optimized TaMn2TcHg structure.

a b c (Å): 4.737 4.737 4.724
angles (deg): 90.00 90.00 90.00
Atoms (fractional coordinates):
1 Ta 0.000 0.000 0.000
2 Mn 0.000 0.500 0.000
3 Mn 0.500 0.000 0.000
4 Tc 0.000 0.000 0.500
5 Hg 0.500 0.500 0.500

Output
formation energy	6.8	eV/f.u.
calculated volume	21.20	Å³/atom
symmetry	No. 123

The following is a DFT calculation (GGA-PBE) of a geometry-optimized OsClO4 structure.

a b c (Å): 8.185 6.397 5.443
angles (deg): 90.00 90.00 90.00
Atoms (fractional coordinates):
1 Os 0.000 0.226 0.000
2 Os 0.500 0.774 0.500
3 Cl 0.000 0.650 0.647
4 Cl 0.500 0.350 0.147
5 O 0.000 0.100 0.280
6 O 0.000 0.496 0.052
7 O 0.172 0.156 0.838
8 O 0.328 0.844 0.338
9 O 0.500 0.504 0.552
10 O 0.500 0.900 0.780
11 O 0.672 0.844 0.338
12 O 0.828 0.156 0.838

Output
calculated volume	23.75	Å³/atom
energy relative to the elements, uncorrected	-343	kJ/mol of formula units
symmetry	No. 31